Entry from Alexandria: LiCd2Pd2 after structural relaxation (PBE).

abc: 5.0380 5.0380 4.8114
angles: 83.60 83.60 52.35
Closest atoms and distances in Å follow each position.
Atoms (fractional coordinates):
Li (0.5000, 0.0000, 0.0000)  4 Pd 2.66, 2 Cd 2.90
Cd (0.7653, 0.2654, 0.2817)  5 Pd 2.74-2.82, 1 Li 2.90, 2 Cd 3.05
Cd (0.2347, 0.7346, 0.7183)  5 Pd 2.74-2.82, 1 Li 2.90, 2 Cd 3.05
Pd (0.9207, 0.4207, 0.7549)  2 Li 2.66, 2 Pd 2.68-2.91, 5 Cd 2.74-2.82
Pd (0.0793, 0.5793, 0.2451)  2 Li 2.66, 2 Pd 2.68-2.91, 5 Cd 2.74-2.82

## Properties
N(E_F): 1.3 states/eV/cell
Symmetry: C2/m
E_form: -0.281 eV/atom
Raw total energy: -3.107 eV per atom
Crystal system: monoclinic

***

Entry from Alexandria: SmDy2Pt2 after structural relaxation (PBE).

abc: 3.8021 4.6804 14.0202
angles: 90.00 97.79 90.00
Closest atoms and distances in Å follow each position.
Atoms (fractional coordinates):
Sm (0.3638, 0.2500, 0.7276)  5 Pt 2.89-3.07
Sm (0.6362, 0.7500, 0.2724)  5 Pt 2.89-3.07
Dy (0.0505, 0.2500, 0.1009)  7 Pt 2.95-3.06
Dy (0.9495, 0.7500, 0.8991)  7 Pt 2.95-3.06
Dy (0.7314, 0.2500, 0.4628)  2 Pt 2.82
Dy (0.2686, 0.7500, 0.5372)  2 Pt 2.82
Pt (0.1566, 0.2500, 0.3133)  3 Dy 2.82-2.95, 4 Sm 3.07
Pt (0.8434, 0.7500, 0.6867)  3 Dy 2.82-2.95, 4 Sm 3.07
Pt (0.4677, 0.2500, 0.9353)  1 Sm 2.89, 2 Pt 2.95, 6 Dy 2.98-3.06
Pt (0.5323, 0.7500, 0.0647)  1 Sm 2.89, 2 Pt 2.95, 6 Dy 2.98-3.06

## Properties
N(E_F): 7.9 states/eV/cell
Symmetry: Cmcm
E_form: -0.983 eV/atom
Raw total energy: -6.184 eV per atom
Crystal system: orthorhombic

***

Entry from Alexandria: Ho2InRh3 after structural relaxation (PBE).

abc: 4.6182 5.4451 6.0316
angles: 116.83 112.51 90.00
Closest atoms and distances in Å follow each position.
Atoms (fractional coordinates):
Ho (0.6781, 0.1781, 0.3562)  6 Rh 2.74-2.89
Ho (0.3219, 0.8219, 0.6438)  6 Rh 2.74-2.89
In (0.0000, 0.5000, 0.0000)  6 Rh 2.72
Rh (0.3530, 0.3530, 0.7060)  2 In 2.72, 4 Ho 2.74-2.87, 1 Rh 2.86
Rh (0.0000, 0.0000, 0.0000)  2 In 2.72, 4 Ho 2.89
Rh (0.6470, 0.6470, 0.2940)  2 In 2.72, 4 Ho 2.74-2.87, 1 Rh 2.86

## Properties
N(E_F): 3.6 states/eV/cell
Symmetry: Immm
E_form: -0.473 eV/atom
Raw total energy: -6.131 eV per atom
Crystal system: orthorhombic

***

Entry from Alexandria: NaCe2O after structural relaxation (PBE).

abc: 3.4450 3.4450 10.3198
angles: 80.39 80.39 60.00
Closest atoms and distances in Å follow each position.
Atoms (fractional coordinates):
Na (0.0000, 0.0000, 0.0000)  6 Na 3.45, 2 Ce 3.62
O (0.5000, 0.5000, 0.5000)  6 Ce 2.45
Ce (0.1193, 0.1193, 0.6421)  3 O 2.45
Ce (0.8807, 0.8807, 0.3579)  3 O 2.45

## Properties
N(E_F): 8.7 states/eV/cell
Symmetry: R-3m
Raw total energy: -5.651 eV per atom
Crystal system: trigonal
Uncorrected formation energy: -1.115 eV/atom

***

Entry from Alexandria: Pu3Sc after structural relaxation (PBE).

abc: 3.4238 3.2685 8.1890
angles: 90.00 90.00 90.00
Closest atoms and distances in Å follow each position.
Atoms (fractional coordinates):
Sc (0.0000, 0.0000, 0.9363)  2 Pu 3.00, 2 Sc 3.27
Pu (0.0000, 0.5000, 0.5303)  4 Pu 2.52
Pu (0.5000, 0.5000, 0.2315)  4 Pu 2.99-3.27
Pu (0.5000, 0.0000, 0.6352)  4 Pu 2.52

## Properties
N(E_F): 10.8 states/eV/cell
Symmetry: Pmm2
E_form: 0.355 eV/atom
Raw total energy: -11.977 eV per atom
Crystal system: orthorhombic

***

Entry from Alexandria: LiPr3Sm3Se8 after structural relaxation (PBE).

abc: 8.3632 8.3633 8.3892
angles: 119.90 90.00 120.00
Closest atoms and distances in Å follow each position.
Atoms (fractional coordinates):
Li (0.0000, 0.0000, 0.5000)  6 Se 2.90
Pr (0.0000, 0.0000, 0.0000)  6 Se 2.99
Pr (0.0000, 0.5000, 0.0000)  6 Se 2.99
Pr (0.5000, 0.5000, 0.0000)  6 Se 2.99
Sm (0.5000, 0.0000, 0.5000)  6 Se 2.93
Sm (0.5000, 0.5000, 0.5000)  6 Se 2.93
Sm (0.0000, 0.5000, 0.5000)  6 Se 2.93
Se (0.2523, 0.5046, 0.2569)  3 Sm 2.93, 3 Pr 2.99
Se (0.7477, 0.4954, 0.7431)  3 Sm 2.93, 3 Pr 2.99
Se (0.7555, 0.5110, 0.2601)  1 Li 2.90, 2 Sm 2.93, 2 Pr 2.99
Se (0.2445, 0.4890, 0.7399)  1 Li 2.90, 2 Sm 2.93, 2 Pr 2.99
Se (0.7555, 0.0047, 0.2601)  1 Li 2.90, 2 Sm 2.93, 2 Pr 2.99
Se (0.2445, 0.9953, 0.7399)  1 Li 2.90, 2 Sm 2.93, 2 Pr 2.99
Se (0.2492, 0.0047, 0.2601)  1 Li 2.90, 2 Sm 2.93, 2 Pr 2.99
Se (0.7508, 0.9953, 0.7399)  1 Li 2.90, 2 Sm 2.93, 2 Pr 2.99

## Properties
N(E_F): 4.8 states/eV/cell
Symmetry: R-3m
Raw total energy: -5.698 eV per atom
Crystal system: trigonal
Uncorrected formation energy: -1.812 eV/atom

***

Entry from Alexandria: PbCN2 after structural relaxation (PBE).

abc: 4.0191 4.0191 4.0191
angles: 60.00 60.00 60.00
Closest atoms and distances in Å follow each position.
Atoms (fractional coordinates):
Pb (0.5000, 0.5000, 0.5000)  8 N 2.46
C (0.0000, 0.0000, 0.0000)  8 N 2.46
N (0.2500, 0.2500, 0.2500)  4 Pb 2.46, 4 C 2.46
N (0.7500, 0.7500, 0.7500)  4 Pb 2.46, 4 C 2.46

## Properties
N(E_F): 2.4 states/eV/cell
Symmetry: Fm-3m
Raw total energy: -4.512 eV per atom
Crystal system: cubic
Uncorrected formation energy: 2.884 eV/atom

***

Entry from Alexandria: ReSnMo3 after structural relaxation (PBE).

abc: 4.7733 4.7733 4.7733
angles: 90.00 90.00 90.00
Closest atoms and distances in Å follow each position.
Atoms (fractional coordinates):
Re (0.0000, 0.0000, 0.0000)  6 Mo 2.39
Mo (0.0000, 0.5000, 0.0000)  2 Re 2.39
Mo (0.0000, 0.0000, 0.5000)  2 Re 2.39
Mo (0.5000, 0.0000, 0.0000)  2 Re 2.39
Sn (0.5000, 0.5000, 0.5000)  12 Mo 3.38

## Properties
N(E_F): 5.2 states/eV/cell
Symmetry: Pm-3m
E_form: 1.464 eV/atom
Raw total energy: -8.325 eV per atom
Crystal system: cubic